Computed, not measured: Rb2SnBS after structural relaxation at the GGA-PBE level of DFT.

abc: 6.8985 6.8985 4.0042
angles: 90.00 90.00 90.00
Closest atoms and distances in Å follow each position.
Space group P4/mmm (No. 123)
One atom of each set of equivalent atoms:
Rb (0.0000, 0.5000, 0.0000) (multiplicity 2)  2 Sn 3.45
Sn (0.0000, 0.0000, 0.0000) (multiplicity 1)  2 B 2.00
B (0.0000, 0.0000, 0.5000) (multiplicity 1)  2 Sn 2.00
S (0.5000, 0.5000, 0.5000) (multiplicity 1)  8 Rb 3.99, 2 S 4.00

Properties
Total magnetic moment = 0.09 μB/cell
Total energy = -14.6 eV for the cell shown
Density of states at the Fermi level = 3.04 states/eV/cell
Raw formation energy = 423 meV/atom
V = 190.55 Å³/cell